Crystalline CdSiAg2 at its relaxed geometry, computed with PBE.

Computed properties:
DOS at the Fermi energy (states/eV/f.u.): 0.9
Crystal system: monoclinic
Distance to the lowest polymorph of the same formula (meV per atom): 75
ΔE_f (raw) (eV per atom): 0.199
VASP energy (eV per atom): -2.81

Structure (CIF):
```
data_CdSiAg2
_cell_length_a 9.317
_cell_length_b 2.883
_cell_length_c 5.601
_cell_angle_alpha 90.00
_cell_angle_beta 102.40
_cell_angle_gamma 90.00
_symmetry_space_group_name_H-M 'C 1 2/m 1'
_symmetry_Int_Tables_number 12
_symmetry_space_group_name_Hall '-C 2y'
loop_
_atom_site_label
_atom_site_type_symbol
_atom_site_fract_x
_atom_site_fract_y
_atom_site_fract_z
_atom_site_occupancy
Cd1 Cd 0.000 0.000 0.000 1
Si1 Si 0.000 0.500 0.500 1
Ag1 Ag 0.241 0.000 0.732 1
```